DFT (PBE+U) results for a relaxed structure of MnSiO3.

Unit cell a=6.534 b=7.984 c=12.317 alpha=101.60 beta=88.87 gamma=100.53
Sites, in units of the cell vectors:
Si: 0.574 0.420 0.125
Si: 0.326 0.190 0.826
Si: 0.674 0.810 0.174
Si: 0.861 0.499 0.349
Si: 0.338 0.248 0.453
Si: 0.771 0.588 0.932
Si: 0.662 0.752 0.547
Si: 0.139 0.501 0.651
Si: 0.229 0.412 0.068
Si: 0.426 0.580 0.875
O: 0.702 0.949 0.093
O: 0.694 0.612 0.075
O: 0.101 0.693 0.644
O: 0.180 0.957 0.124
O: 0.875 0.867 0.258
O: 0.125 0.133 0.742
O: 0.081 0.638 0.338
O: 0.348 0.313 0.335
O: 0.899 0.307 0.356
O: 0.553 0.222 0.507
O: 0.925 0.764 0.914
O: 0.880 0.423 0.904
O: 0.306 0.510 0.754
O: 0.846 0.925 0.561
O: 0.075 0.236 0.086
O: 0.154 0.075 0.439
O: 0.544 0.228 0.763
O: 0.387 0.761 0.944
O: 0.265 0.413 0.545
O: 0.447 0.778 0.493
O: 0.306 0.388 0.925
O: 0.919 0.362 0.662
O: 0.456 0.772 0.237
O: 0.613 0.239 0.056
O: 0.120 0.577 0.096
O: 0.735 0.587 0.455
O: 0.694 0.490 0.246
O: 0.298 0.051 0.907
O: 0.820 0.043 0.876
O: 0.652 0.687 0.665
Mn: 0.397 0.584 0.347
Mn: 0.157 0.857 0.516
Mn: 0.000 0.000 0.000
Mn: 0.843 0.143 0.484
Mn: 0.078 0.157 0.247
Mn: 0.603 0.416 0.653
Mn: 0.863 0.218 0.788
Mn: 0.137 0.782 0.212
Mn: 0.922 0.843 0.753
Mn: 0.500 0.000 0.000

Calculated values
The final energy comes out at -7.64 eV/atom. For the density, the calculation gives 3.516 g/cm³.